[1]
# MnRuSe2

Crystalline MnRuSe2 at its relaxed geometry (PBE, Alexandria via LeMat-Bulk).

## Properties
The energy above the most stable polymorph in this dataset is 39.9 kJ/mol of atoms. The calculation puts the total energy at -0.229 Ha/atom. Its space group is R-3m, No. 166.

a b c (Å): 8.0997 8.0997 8.0997
angles (deg): 22.42 22.42 22.42
Last column: nearest neighbours and their distance in Å.
Fractional coordinates of all 4 atoms:
Mn1 0.0000 0.0000 0.0000  6 Se 2.41
Ru1 0.5000 0.5000 0.5000  2 Se 2.37
Se1 0.3999 0.3999 0.3999  1 Ru 2.37, 3 Mn 2.41
Se2 0.6001 0.6001 0.6001  1 Ru 2.37, 3 Mn 2.41

[2]
# MnRu2Se

Crystalline MnRu2Se at its relaxed geometry (PBE, Alexandria via LeMat-Bulk).

## Properties
The calculation puts the total energy at -0.265 Ha/atom. Its space group is I-42d, No. 122.

a b c (Å): 6.5851 6.5851 6.5851
angles (deg): 132.25 132.25 69.83
Last column: nearest neighbours and their distance in Å.
Fractional coordinates of all 8 atoms:
Mn1 0.0000 0.0000 0.0000  4 Ru 2.23
Mn2 0.7500 0.2500 0.5000  4 Ru 2.23
Ru1 0.0962 0.6250 0.9712  2 Mn 2.23, 2 Se 2.41
Ru2 0.3750 0.3462 0.4712  2 Mn 2.23, 2 Se 2.41
Ru3 0.6538 0.1250 0.0288  2 Mn 2.23, 2 Se 2.41
Ru4 0.8750 0.9038 0.5288  2 Mn 2.23, 2 Se 2.41
Se1 0.2500 0.7500 0.5000  4 Ru 2.41
Se2 0.5000 0.5000 0.0000  4 Ru 2.41